# Be2ReSb PBE relaxed
# magnetic moment	0.00	μB/f.u.
# mass density	8.9	g cm⁻³
# uncorrected formation energy	926	meV per atom
data_Be2ReSb
_chemical_formula_sum 'Be4 Re2 Sb2'
_cell_length_a 6.755
_cell_length_b 6.755
_cell_length_c 5.475
_cell_angle_alpha 51.91
_cell_angle_beta 51.91
_cell_angle_gamma 90.00
_symmetry_space_group_name_H-M 'P 1'
_symmetry_Int_Tables_number 1
_symmetry_space_group_name_Hall 'P 1'
loop_
_atom_site_label
_atom_site_type_symbol
_atom_site_fract_x
_atom_site_fract_y
_atom_site_fract_z
Re1 Re 0.750 0.250 0.500
Be1 Be 0.375 0.344 0.750
Sb1 Sb 0.250 0.750 0.500
Re2 Re 0.000 0.000 0.000
Be2 Be 0.875 0.906 0.750
Be3 Be 0.656 0.125 0.250
Sb2 Sb 0.500 0.500 0.000
Be4 Be 0.094 0.625 0.250